Version P
! YCu2Pb2, relaxed, DFT GGA-PBE; values from VASP
! **Calculated density**: 9.2 g/cm3
! **M_tot**: 0.0 μB/f.u.
! **Space-group type**: I4/mmm, No. 139
&SYSTEM
  ibrav = 0, nat = 5, ntyp = 3
/
ATOMIC_SPECIES
Pb 207.20 Pb.upf
Cu 63.55 Cu.upf
Y 88.91 Y.upf
ATOMIC_POSITIONS crystal
Pb 0.750 0.250 0.500
Cu 0.607 0.607 0.785
Pb 0.250 0.750 0.500
Cu 0.393 0.393 0.215
Y 0.000 0.000 0.000
CELL_PARAMETERS angstrom
-3.986 2.204 -0.681
-0.939 -2.791 -3.541
-4.929 -3.719 1.244

---

Version Q
! YCu2Pb2, relaxed, DFT GGA-PBE; values from VASP
! **Calculated density**: 9.3 g/cm3
! **M_tot**: 0.4 μB/f.u.
! **Space-group type**: P4/mbm, No. 127
&SYSTEM
  ibrav = 0, nat = 10, ntyp = 3
/
ATOMIC_SPECIES
Y 88.91 Y.upf
Pb 207.20 Pb.upf
Cu 63.55 Cu.upf
ATOMIC_POSITIONS crystal
Y 0.000 0.000 0.000
Pb 0.143 0.357 0.000
Pb 0.857 0.643 0.000
Cu 0.154 0.654 0.500
Pb 0.643 0.143 0.000
Pb 0.357 0.857 0.000
Cu 0.346 0.154 0.500
Y 0.500 0.500 0.000
Cu 0.846 0.346 0.500
Cu 0.654 0.846 0.500
CELL_PARAMETERS angstrom
-2.175 7.814 -1.317
-6.355 -2.536 -4.550
-1.919 -0.075 2.722

---

Winner for stability: version P

---

Version P
! YCu3Pb, relaxed, DFT GGA-PBE; values from VASP
! **Calculated density**: 6.1 g/cm3
! **M_tot**: 0.0 μB/f.u.
! **Space-group type**: Pm-3m, No. 221
&SYSTEM
  ibrav = 0, nat = 5, ntyp = 3
/
ATOMIC_SPECIES
Cu 63.55 Cu.upf
Y 88.91 Y.upf
Pb 207.20 Pb.upf
ATOMIC_POSITIONS crystal
Cu 0.000 0.500 0.000
Cu 0.000 0.000 0.500
Y 0.000 0.000 0.000
Cu 0.500 0.000 0.000
Pb 0.500 0.500 0.500
CELL_PARAMETERS angstrom
-2.791 0.217 -4.276
-1.727 -4.728 0.887
-3.918 1.929 2.656

---

Version Q
! YCu3Pb, relaxed, DFT GGA-PBE; values from VASP
! **Calculated density**: 7.0 g/cm3
! **M_tot**: 0.0 μB/f.u.
! **Space-group type**: Pm-3m, No. 221
&SYSTEM
  ibrav = 0, nat = 5, ntyp = 3
/
ATOMIC_SPECIES
Cu 63.55 Cu.upf
Pb 207.20 Pb.upf
Y 88.91 Y.upf
ATOMIC_POSITIONS crystal
Cu 0.000 0.500 0.000
Cu 0.000 0.000 0.500
Pb 0.000 0.000 0.000
Cu 0.500 0.000 0.000
Y 0.500 0.500 0.500
CELL_PARAMETERS angstrom
4.871 0.000 0.000
0.000 4.871 0.000
0.000 0.000 4.871

---

Winner for stability: version Q

---

Version P
! ZnCuPb2, relaxed, DFT GGA-PBE; values from VASP
! **Calculated density**: 9.7 g/cm3
! **M_tot**: 0.0 μB/f.u.
! **Space-group type**: Cm, No. 8
&SYSTEM
  ibrav = 0, nat = 4, ntyp = 3
/
ATOMIC_SPECIES
Zn 65.41 Zn.upf
Cu 63.55 Cu.upf
Pb 207.20 Pb.upf
ATOMIC_POSITIONS crystal
Zn 0.553 0.553 0.448
Cu 0.226 0.226 0.272
Pb 0.967 0.967 0.035
Pb 0.754 0.754 0.745
CELL_PARAMETERS angstrom
6.267 0.072 0.083
5.317 3.319 0.083
1.912 0.560 4.566

---

Version Q
! ZnCuPb2, relaxed, DFT GGA-PBE; values from VASP
! **Calculated density**: 9.5 g/cm3
! **M_tot**: 0.0 μB/f.u.
! **Space-group type**: R-3m, No. 166
&SYSTEM
  ibrav = 0, nat = 4, ntyp = 3
/
ATOMIC_SPECIES
Cu 63.55 Cu.upf
Pb 207.20 Pb.upf
Zn 65.41 Zn.upf
ATOMIC_POSITIONS crystal
Cu 0.750 0.750 0.750
Pb 0.493 0.493 0.493
Pb 0.007 0.007 0.007
Zn 0.250 0.250 0.250
CELL_PARAMETERS angstrom
-2.940 5.266 -5.188
-5.092 5.741 -2.101
-1.697 7.418 -2.322

---

Version R
! ZnCuPb2, relaxed, DFT GGA-PBE; values from VASP
! **Calculated density**: 9.9 g/cm3
! **M_tot**: 0.0 μB/f.u.
! **Space-group type**: P4mm, No. 99
&SYSTEM
  ibrav = 0, nat = 4, ntyp = 3
/
ATOMIC_SPECIES
Zn 65.41 Zn.upf
Pb 207.20 Pb.upf
Cu 63.55 Cu.upf
ATOMIC_POSITIONS crystal
Zn 0.000 0.000 0.565
Pb 0.000 0.000 0.933
Pb 0.500 0.500 0.310
Cu 0.500 0.500 0.692
CELL_PARAMETERS angstrom
3.327 0.000 0.000
0.000 3.327 0.000
0.000 0.000 8.245

---

Winner for stability: version R

---

Version P
! ZnCu2Pb, relaxed, DFT GGA-PBE; values from VASP
! **Calculated density**: 9.1 g/cm3
! **M_tot**: 0.0 μB/f.u.
! **Space-group type**: Pm, No. 6
&SYSTEM
  ibrav = 0, nat = 4, ntyp = 3
/
ATOMIC_SPECIES
Pb 207.20 Pb.upf
Cu 63.55 Cu.upf
Zn 65.41 Zn.upf
ATOMIC_POSITIONS crystal
Pb 0.000 0.383 0.455
Cu 0.500 0.062 0.223
Cu 0.000 0.259 0.935
Zn 0.500 0.795 0.887
CELL_PARAMETERS angstrom
-0.885 0.382 -3.662
0.220 -3.352 -0.403
-5.361 -2.926 0.991

---

Version Q
! ZnCu2Pb, relaxed, DFT GGA-PBE; values from VASP
! **Calculated density**: 9.0 g/cm3
! **M_tot**: 0.0 μB/f.u.
! **Space-group type**: C2/m, No. 12
&SYSTEM
  ibrav = 0, nat = 4, ntyp = 3
/
ATOMIC_SPECIES
Zn 65.41 Zn.upf
Cu 63.55 Cu.upf
Pb 207.20 Pb.upf
ATOMIC_POSITIONS crystal
Zn 0.250 0.250 0.250
Cu 0.950 0.950 0.146
Pb 0.750 0.750 0.750
Cu 0.550 0.550 0.354
CELL_PARAMETERS angstrom
4.269 -0.045 0.010
2.202 3.658 0.010
1.919 1.072 4.691

---

Version R
! ZnCu2Pb, relaxed, DFT GGA-PBE; values from VASP
! **Calculated density**: 9.8 g/cm3
! **M_tot**: 0.0 μB/f.u.
! **Space-group type**: I-4m2, No. 119
&SYSTEM
  ibrav = 0, nat = 4, ntyp = 3
/
ATOMIC_SPECIES
Zn 65.41 Zn.upf
Pb 207.20 Pb.upf
Cu 63.55 Cu.upf
ATOMIC_POSITIONS crystal
Zn 0.750 0.250 0.500
Pb 0.500 0.500 0.000
Cu 0.250 0.750 0.500
Cu 0.000 0.000 0.000
CELL_PARAMETERS angstrom
-2.987 1.341 3.843
-4.851 -0.899 -1.071
4.161 -2.844 -0.282

---

Version S
! ZnCu2Pb, relaxed, DFT GGA-PBE; values from VASP
! **Calculated density**: 9.9 g/cm3
! **M_tot**: 0.0 μB/f.u.
! **Space-group type**: C2/m, No. 12
&SYSTEM
  ibrav = 0, nat = 4, ntyp = 3
/
ATOMIC_SPECIES
Zn 65.41 Zn.upf
Pb 207.20 Pb.upf
Cu 63.55 Cu.upf
ATOMIC_POSITIONS crystal
Zn 0.000 0.500 0.500
Pb 0.500 0.000 0.500
Cu 0.500 0.500 0.000
Cu 0.000 0.000 0.000
CELL_PARAMETERS angstrom
-3.671 -0.364 1.850
-0.847 -3.292 -2.340
1.592 -2.365 2.725

---

Winner for stability: version Q